Compound: Li2TcBi
Source: OQMD via LeMat-Bulk
Functional: GGA-PBE
Structure: relaxed

Geometry as CIF:
```
data_Li2TcBi
_symmetry_space_group_name_H-M 'F -4 3 m'
_symmetry_Int_Tables_number 216
_symmetry_space_group_name_Hall 'F -4 2 3'
_cell_length_a 6.4332
_cell_length_b 6.4332
_cell_length_c 6.4332
_cell_angle_alpha 90.00
_cell_angle_beta 90.00
_cell_angle_gamma 90.00
loop_
_atom_site_label
_atom_site_type_symbol
_atom_site_fract_x
_atom_site_fract_y
_atom_site_fract_z
Li1 Li 0.0000 0.0000 0.0000
Li2 Li 0.2500 0.2500 0.2500
Tc1 Tc 0.2500 0.2500 0.7500
Bi1 Bi 0.0000 0.0000 0.5000
```

Calculated values
Energy: -4.41 eV per atom
Crystal system: cubic

=====

Compound: Gd2GaBiS6
Source: OQMD via LeMat-Bulk
Functional: GGA-PBE
Structure: relaxed

Geometry as CIF:
```
data_Gd2GaBiS6
_symmetry_space_group_name_H-M 'P 1 21/m 1'
_symmetry_Int_Tables_number 11
_cell_length_a 11.5738
_cell_length_b 3.9383
_cell_length_c 12.9375
_cell_angle_alpha 90.00
_cell_angle_beta 116.22
_cell_angle_gamma 90.00
loop_
_symmetry_equiv_pos_as_xyz
'x,y,z'
'-x,-y,-z'
'-x,y+1/2,-z'
'x,-y+1/2,z'
loop_
_atom_site_label
_atom_site_type_symbol
_atom_site_fract_x
_atom_site_fract_y
_atom_site_fract_z
Gd1 Gd 0.0330 0.2500 0.2764
Gd2 Gd 0.4135 0.2500 0.8527
Ga1 Ga 0.2714 0.7500 0.5972
Bi1 Bi 0.1955 0.7500 0.1073
S1 S 0.0380 0.2500 0.8970
S2 S 0.0874 0.7500 0.4319
S3 S 0.2260 0.7500 0.7579
S4 S 0.2644 0.2500 0.2632
S5 S 0.3958 0.2500 0.6263
S6 S 0.4055 0.2500 0.0626
```

Calculated values
Energy: -5.38 eV per atom
Crystal system: monoclinic

=====

Compound: K2Ta4O11
Source: OQMD via LeMat-Bulk
Functional: GGA-PBE
Structure: relaxed

Geometry as CIF:
```
data_K2Ta4O11
_symmetry_space_group_name_H-M 'R -3 c'
_symmetry_Int_Tables_number 167
_symmetry_space_group_name_Hall '-R 3 2"c'
_cell_length_a 6.2837
_cell_length_b 6.2837
_cell_length_c 36.9836
_cell_angle_alpha 90.00
_cell_angle_beta 90.00
_cell_angle_gamma 120.00
loop_
_atom_site_label
_atom_site_type_symbol
_atom_site_fract_x
_atom_site_fract_y
_atom_site_fract_z
K1 K 0.0000 0.0000 0.1741
Ta1 Ta 0.0000 0.0000 0.0000
Ta2 Ta 0.0000 0.3665 0.2500
O1 O 0.0000 0.0000 0.0940
O2 O 0.0000 0.2462 0.7500
O3 O 0.0376 0.2732 0.5314
```

Calculated values
Energy: -8.88 eV per atom
Crystal system: trigonal

=====

Compound: LiPm3Se4
Source: OQMD via LeMat-Bulk
Functional: GGA-PBE
Structure: relaxed

Geometry as CIF:
```
data_LiPm3Se4
_symmetry_space_group_name_H-M 'C m m m'
_symmetry_Int_Tables_number 65
_symmetry_space_group_name_Hall '-C 2 2'
_cell_length_a 8.3108
_cell_length_b 11.7379
_cell_length_c 4.1521
_cell_angle_alpha 90.00
_cell_angle_beta 90.00
_cell_angle_gamma 90.00
loop_
_atom_site_label
_atom_site_type_symbol
_atom_site_fract_x
_atom_site_fract_y
_atom_site_fract_z
Li1 Li 0.0000 0.0000 0.0000
Pm1 Pm 0.0000 0.5000 0.0000
Pm2 Pm 0.2500 0.2500 0.5000
Se1 Se 0.0000 0.2435 0.0000
Se2 Se 0.2409 0.0000 0.5000
```

Calculated values
Energy: -5.53 eV per atom
Crystal system: orthorhombic

=====

> Among the records above, which one has the lowest energy?

K2Ta4O11